Density functional theory data (GGA-PBE) for a relaxed structure of CsAuC3.

abc: 4.5929 4.5929 4.5929
angles: 90.00 90.00 90.00
With the nearest neighbours (Å) after each atom.
Space group Pm-3m (No. 221)
Symmetry-distinct sites (fractional):
Cs  0.0000  0.0000  0.0000 x1  6 C 2.30
Au  0.5000  0.5000  0.5000 x1  12 C 3.25
C  0.0000  0.0000  0.5000 x3  2 Cs 2.30

## Properties
Energy relative to the elements in eV per atom: 4.319

Density functional theory data (GGA-PBE) for a relaxed structure of CsMo2AuC.

abc: 4.9925 4.9925 4.3661
angles: 90.00 90.00 90.00
With the nearest neighbours (Å) after each atom.
Space group P4/mmm (No. 123)
Symmetry-distinct sites (fractional):
Cs  0.0000  0.0000  0.0000 x1  2 C 2.18
Mo  0.0000  0.5000  0.0000 x2  2 Cs 2.50
Au  0.5000  0.5000  0.5000 x1  8 Mo 3.32, 4 C 3.53
C  0.0000  0.0000  0.5000 x1  2 Cs 2.18

## Properties
Energy relative to the elements in eV per atom: 3.586

Density functional theory data (GGA-PBE) for a relaxed structure of CsPd2AuC.

abc: 4.2745 4.2745 5.4968
angles: 90.00 90.00 90.00
With the nearest neighbours (Å) after each atom.
Space group P4/mmm (No. 123)
Symmetry-distinct sites (fractional):
Cs  0.0000  0.0000  0.0000 x1  4 Au 3.02
Pd  0.0000  0.5000  0.5000 x2  2 C 2.14
Au  0.5000  0.5000  0.0000 x1  2 C 2.75, 4 Cs 3.02
C  0.5000  0.5000  0.5000 x1  4 Pd 2.14

## Properties
Energy relative to the elements in eV per atom: 0.688

Density functional theory data (GGA-PBE) for a relaxed structure of CsReAu2C.

abc: 5.0142 5.0142 6.1784
angles: 90.00 90.00 90.00
With the nearest neighbours (Å) after each atom.
Space group P4/mmm (No. 123)
Symmetry-distinct sites (fractional):
Cs  0.0000  0.0000  0.0000 x1  2 Re 3.09
Re  0.0000  0.0000  0.5000 x1  4 Au 2.51
Au  0.0000  0.5000  0.5000 x2  2 Re 2.51
C  0.5000  0.5000  0.0000 x1  4 Cs 3.55

## Properties
Energy relative to the elements in eV per atom: 2.346

Density functional theory data (GGA-PBE) for a relaxed structure of CsRuAuC2.

abc: 4.1243 4.1243 5.5761
angles: 90.00 90.00 90.00
With the nearest neighbours (Å) after each atom.
Space group P4/mmm (No. 123)
Symmetry-distinct sites (fractional):
Cs  0.0000  0.0000  0.0000 x1  4 Au 2.92
Ru  0.5000  0.5000  0.5000 x1  4 C 2.06
Au  0.5000  0.5000  0.0000 x1  2 Ru 2.79, 4 Cs 2.92
C  0.0000  0.5000  0.5000 x2  2 Ru 2.06

## Properties
Energy relative to the elements in eV per atom: 1.283

Density functional theory data (GGA-PBE) for a relaxed structure of CsSb2AuC.

abc: 4.8734 4.8734 5.6577
angles: 90.00 90.00 90.00
With the nearest neighbours (Å) after each atom.
Space group P4/mmm (No. 123)
Symmetry-distinct sites (fractional):
Cs  0.0000  0.0000  0.0000 x1  4 Au 3.45, 8 Sb 3.73
Sb  0.0000  0.5000  0.5000 x2  2 C 2.44
Au  0.5000  0.5000  0.0000 x1  2 C 2.83
C  0.5000  0.5000  0.5000 x1  4 Sb 2.44

## Properties
Total DFT energy (no corrections) in eV/cell: -16.8

Density functional theory data (GGA-PBE) for a relaxed structure of CsSi2AuC.

abc: 4.2434 4.2434 7.6109
angles: 90.00 90.00 90.00
With the nearest neighbours (Å) after each atom.
Space group P4/mmm (No. 123)
Symmetry-distinct sites (fractional):
Cs  0.0000  0.0000  0.0000 x1  4 Au 3.00
Si  0.0000  0.5000  0.5000 x2  2 C 2.12
Au  0.5000  0.5000  0.0000 x1  4 Cs 3.00
C  0.5000  0.5000  0.5000 x1  4 Si 2.12

## Properties
Total DFT energy (no corrections) in eV/cell: -18.0

Density functional theory data (GGA-PBE) for a relaxed structure of Cs2SiAuC.

abc: 6.9316 6.9316 3.6203
angles: 90.00 90.00 90.00
With the nearest neighbours (Å) after each atom.
Space group P4/mmm (No. 123)
Symmetry-distinct sites (fractional):
Cs  0.0000  0.5000  0.0000 x2  2 Si 3.47, 2 Cs 3.62
Si  0.0000  0.0000  0.0000 x1  2 C 1.81
Au  0.5000  0.5000  0.5000 x1  2 Au 3.62, 8 Cs 3.91
C  0.0000  0.0000  0.5000 x1  2 Si 1.81

## Properties
Total DFT energy (no corrections) in eV/cell: -17.3

Density functional theory data (GGA-PBE) for a relaxed structure of Cs2TeAuC.

abc: 7.4075 7.4075 5.2322
angles: 90.00 90.00 90.00
With the nearest neighbours (Å) after each atom.
Space group P4/mmm (No. 123)
Symmetry-distinct sites (fractional):
Cs  0.0000  0.5000  0.0000 x2  2 Te 3.70
Te  0.0000  0.0000  0.0000 x1  2 Au 2.62
Au  0.0000  0.0000  0.5000 x1  2 Te 2.62
C  0.5000  0.5000  0.5000 x1  8 Cs 4.53

## Properties
Total DFT energy (no corrections) in eV/cell: -13.4

Density functional theory data (GGA-PBE) for a relaxed structure of CuAu2C2.

abc: 5.8649 5.8649 4.1170
angles: 90.00 90.00 90.00
With the nearest neighbours (Å) after each atom.
Space group P4/mbm (No. 127)
Symmetry-distinct sites (fractional):
Cu  0.0000  0.0000  0.0000 x2  4 C 2.07
Au  0.2492  0.2508  0.5000 x4  2 C 2.06
C  0.2492  0.2508  0.0000 x4  2 Au 2.06, 2 Cu 2.07

## Properties
Energy relative to the elements in eV per atom: 1.388
Distance to the lowest polymorph of the same formula in eV per atom: 0.1731

Density functional theory data (GGA-PBE) for a relaxed structure of Cu4AuC2.

abc: 4.8384 4.8384 9.9637
angles: 90.00 90.00 90.00
With the nearest neighbours (Å) after each atom.
Space group I4/mmm (No. 139)
Symmetry-distinct sites (fractional):
Cu  0.0000  0.0000  0.2489 x4  1 C 1.83
Cu  0.0000  0.5000  0.0000 x4  2 Au 2.42, 4 C 2.50
Au  0.0000  0.0000  0.5000 x2  6 Cu 2.42-2.50
C  0.0000  0.0000  0.0650 x4  1 C 1.30

## Properties
Energy relative to the elements in eV per atom: 1.009

Density functional theory data (GGA-PBE) for a relaxed structure of CuAu2C2.

abc: 4.1328 4.1328 7.5807
angles: 90.00 90.00 90.00
With the nearest neighbours (Å) after each atom.
Space group I4/mmm (No. 139)
Symmetry-distinct sites (fractional):
Cu  0.0000  0.0000  0.0000 x2  8 Au 2.80, 10 C 3.00-3.12
Au  0.0000  0.5000  0.2500 x4  4 C 2.40
C  0.0000  0.0000  0.4113 x4  1 C 1.34

## Properties
Energy relative to the elements in eV per atom: 1.215
Distance to the lowest polymorph of the same formula in eV per atom: 0.0000

Density functional theory data (GGA-PBE) for a relaxed structure of K2CuAuC.

abc: 6.2232 6.2232 4.8582
angles: 90.00 90.00 90.00
With the nearest neighbours (Å) after each atom.
Space group P4/mmm (No. 123)
Symmetry-distinct sites (fractional):
K  0.0000  0.5000  0.0000 x2  2 Au 3.11
Cu  0.0000  0.0000  0.5000 x1  2 Au 2.43
Au  0.0000  0.0000  0.0000 x1  2 Cu 2.43
C  0.5000  0.5000  0.5000 x1  8 K 3.95, 4 Cu 4.40

## Properties
Energy relative to the elements in eV per atom: 1.183

Density functional theory data (GGA-PBE) for a relaxed structure of La2CuAuC.

abc: 5.3421 5.3421 3.8273
angles: 90.00 90.00 90.00
With the nearest neighbours (Å) after each atom.
Space group P4/mmm (No. 123)
Symmetry-distinct sites (fractional):
La  0.0000  0.5000  0.0000 x2  2 C 2.67
Cu  0.0000  0.0000  0.5000 x1  2 C 1.91
Au  0.5000  0.5000  0.5000 x1  8 La 3.29
C  0.0000  0.0000  0.0000 x1  2 Cu 1.91

## Properties
Energy relative to the elements in eV per atom: -0.315

Density functional theory data (GGA-PBE) for a relaxed structure of Mn2CuAuC.

abc: 3.9575 3.9575 3.9943
angles: 90.00 90.00 90.00
With the nearest neighbours (Å) after each atom.
Space group P4/mmm (No. 123)
Symmetry-distinct sites (fractional):
Mn  0.0000  0.5000  0.0000 x2  2 C 1.98
Cu  0.0000  0.0000  0.5000 x1  2 C 2.00
Au  0.5000  0.5000  0.5000 x1  4 Cu 2.80, 8 Mn 2.81
C  0.0000  0.0000  0.0000 x1  4 Mn 1.98, 2 Cu 2.00

## Properties
Energy relative to the elements in eV per atom: 0.112

Density functional theory data (GGA-PBE) for a relaxed structure of CuP2AuC.

abc: 4.2064 4.2064 3.8714
angles: 90.00 90.00 90.00
With the nearest neighbours (Å) after each atom.
Space group P4/mmm (No. 123)
Symmetry-distinct sites (fractional):
Cu  0.0000  0.0000  0.0000 x1  2 C 1.94
P  0.0000  0.5000  0.5000 x2  2 C 2.10
Au  0.5000  0.5000  0.0000 x1  8 P 2.86, 4 Cu 2.97
C  0.0000  0.0000  0.5000 x1  2 Cu 1.94, 4 P 2.10

## Properties
Energy relative to the elements in eV per atom: 0.937

Density functional theory data (GGA-PBE) for a relaxed structure of CuPb2AuC.

abc: 5.4754 5.4754 4.8184
angles: 90.00 90.00 90.00
With the nearest neighbours (Å) after each atom.
Space group P4/mmm (No. 123)
Symmetry-distinct sites (fractional):
Cu  0.0000  0.0000  0.0000 x1  2 Au 2.41
Pb  0.0000  0.5000  0.5000 x2  2 Au 2.74
Au  0.0000  0.0000  0.5000 x1  2 Cu 2.41
C  0.5000  0.5000  0.0000 x1  8 Pb 3.65, 4 Cu 3.87

## Properties
Energy relative to the elements in eV per atom: 1.655

Density functional theory data (GGA-PBE) for a relaxed structure of Sc2CuAuC.

abc: 4.5512 4.5512 3.8537
angles: 90.00 90.00 90.00
With the nearest neighbours (Å) after each atom.
Space group P4/mmm (No. 123)
Symmetry-distinct sites (fractional):
Sc  0.0000  0.5000  0.0000 x2  2 C 2.28
Cu  0.0000  0.0000  0.5000 x1  2 C 1.93
Au  0.5000  0.5000  0.5000 x1  8 Sc 2.98, 4 Cu 3.22
C  0.0000  0.0000  0.0000 x1  2 Cu 1.93

## Properties
Energy relative to the elements in eV per atom: -0.446

Density functional theory data (GGA-PBE) for a relaxed structure of CuTeAu2C.

abc: 4.6252 4.6252 3.9630
angles: 90.00 90.00 90.00
With the nearest neighbours (Å) after each atom.
Space group P4/mmm (No. 123)
Symmetry-distinct sites (fractional):
Cu  0.0000  0.0000  0.0000 x1  2 C 1.98
Te  0.5000  0.5000  0.0000 x1  8 Au 3.05, 4 Cu 3.27
Au  0.0000  0.5000  0.5000 x2  2 C 2.31
C  0.0000  0.0000  0.5000 x1  2 Cu 1.98

## Properties
Total DFT energy (no corrections) in eV/cell: -18.9

Density functional theory data (GGA-PBE) for a relaxed structure of TlCuAuC2.

abc: 3.9073 3.9073 5.4010
angles: 90.00 90.00 90.00
With the nearest neighbours (Å) after each atom.
Space group P4/mmm (No. 123)
Symmetry-distinct sites (fractional):
Tl  0.0000  0.0000  0.0000 x1  4 Au 2.76
Cu  0.5000  0.5000  0.5000 x1  4 C 1.95
Au  0.5000  0.5000  0.0000 x1  2 Cu 2.70, 4 Tl 2.76
C  0.0000  0.5000  0.5000 x2  2 Cu 1.95

## Properties
Energy relative to the elements in eV per atom: 1.843